The following is a PBE calculation of an optimized crystal structure of LiInAg5, from Alexandria via LeMat-Bulk.

DOS at the Fermi energy ... 2.843 states/eV per cell
E ... -2.37 eV per atom
Energy relative to the lowest polymorph listed for this composition ... 314 meV per atom
Space-group type ... Imm2, No. 44
ρ ... 5.49 g/cm3
ΔE_f ... 332 meV/atom

Lattice parameters (Å, degrees): 7.6039 5.5248 6.6877 114.40 124.65 90.00
Fractional coordinates of all 7 atoms:
1 Ag 0.3736 0.2498 0.4996
2 Ag 0.8740 0.7502 0.5004
3 Ag 0.1224 0.7493 0.0000
4 Ag 0.1224 0.2507 0.0000
5 Ag 0.8066 0.5000 0.0000
6 Li 0.7942 0.0000 0.0000
7 In 0.4375 0.5000 0.0000